# CaReAg2

An optimized crystal structure of CaReAg2 (PBE-GGA, Alexandria).

Unit cell a=5.237 b=5.237 c=5.385 alpha=82.34 beta=82.34 gamma=30.70
Fractional coordinates of all 4 atoms:
1 Re 0.745 0.745 0.777
2 Ca 0.498 0.498 0.494
3 Ag 0.001 0.001 0.981
4 Ag 0.256 0.256 0.248

Summary:
Volume   18.7 A^3/atom
SG   Cm (8)
Energy relative to the elements   203 kJ/mol of formula units

---

# BeNiAs2

An optimized crystal structure of BeNiAs2 (PBE-GGA, Alexandria).

Unit cell a=3.791 b=4.361 c=3.411 alpha=90.00 beta=90.00 gamma=90.00
Fractional coordinates of all 4 atoms:
1 Ni 0.000 0.500 0.500
2 As 0.000 0.000 0.000
3 As 0.500 0.500 0.000
4 Be 0.500 0.000 0.500

Summary:
Volume   14.1 A^3/atom
SG   Pmmm (47)
Energy relative to the elements   109 kJ/mol of formula units

---

# HgSe

An optimized crystal structure of HgSe (PBE-GGA, Alexandria).

Unit cell a=2.830 b=2.830 c=13.511 alpha=90.00 beta=90.00 gamma=90.00
Fractional coordinates of all 4 atoms:
1 Hg 0.250 0.250 0.630
2 Hg 0.750 0.750 0.370
3 Se 0.250 0.250 0.144
4 Se 0.750 0.750 0.856

Summary:
Volume   27.1 A^3/atom
Uncorrected formation energy   0.4 eV/f.u.
SG   P4/nmm (129)

---

# Pm3PaRu4

An optimized crystal structure of Pm3PaRu4 (PBE-GGA, Alexandria).

Unit cell a=4.905 b=4.905 c=7.805 alpha=108.20 beta=108.21 gamma=90.06
Fractional coordinates of all 8 atoms:
1 Ru 0.387 0.387 0.773
2 Ru 0.613 0.613 0.227
3 Ru 0.113 0.113 0.227
4 Ru 0.887 0.887 0.773
5 Pa 0.500 0.000 0.000
6 Pm 0.000 0.500 0.000
7 Pm 0.751 0.251 0.503
8 Pm 0.249 0.749 0.497

Summary:
Volume   21.1 A^3/atom
SG   C2/m (12)
Energy relative to the elements   -214 kJ/mol of formula units

---

# Cd4InTe5

An optimized crystal structure of Cd4InTe5 (PBE-GGA, Alexandria).

Unit cell a=4.729 b=4.729 c=19.595 alpha=83.07 beta=83.07 gamma=60.00
Fractional coordinates of all 10 atoms:
1 Cd 0.548 0.548 0.357
2 Cd 0.149 0.149 0.553
3 Cd 0.751 0.751 0.748
4 Cd 0.352 0.352 0.943
5 In 0.950 0.950 0.149
6 Te 0.002 0.002 0.994
7 Te 0.597 0.597 0.208
8 Te 0.199 0.199 0.404
9 Te 0.800 0.800 0.600
10 Te 0.401 0.401 0.796

Summary:
Volume   37.6 A^3/atom
Uncorrected formation energy   -3.8 eV/f.u.
SG   R3m (160)

---

# K2Sn5Pd3

An optimized crystal structure of K2Sn5Pd3 (PBE-GGA, Alexandria).

Unit cell a=6.660 b=9.380 c=9.380 alpha=74.21 beta=69.21 gamma=69.21
Fractional coordinates of all 20 atoms:
1 K 0.143 0.592 0.123
2 K 0.643 0.123 0.592
3 K 0.857 0.408 0.877
4 K 0.357 0.877 0.408
5 Sn 0.408 0.251 0.933
6 Sn 0.908 0.933 0.251
7 Sn 0.592 0.749 0.067
8 Sn 0.092 0.067 0.749
9 Sn 0.479 0.771 0.771
10 Sn 0.521 0.229 0.229
11 Sn 0.750 0.500 0.500
12 Sn 0.250 0.500 0.500
13 Sn 0.021 0.229 0.229
14 Sn 0.979 0.771 0.771
15 Pd 0.366 0.528 0.740
16 Pd 0.866 0.740 0.528
17 Pd 0.634 0.472 0.260
18 Pd 0.134 0.260 0.472
19 Pd 0.250 0.000 0.000
20 Pd 0.750 0.000 0.000

Summary:
Volume   25.2 A^3/atom
SG   Ibam (72)
Energy relative to the elements   -366 kJ/mol of formula units

---

# TlN2O4

An optimized crystal structure of TlN2O4 (PBE-GGA, Alexandria).

Unit cell a=5.407 b=4.482 c=5.407 alpha=90.01 beta=89.14 gamma=89.99
Last column: magnetic moment on the atom in μB.
Fractional coordinates of all 7 atoms:
1 Tl 0.000 0.000 0.000  0.01
2 N 0.500 0.876 0.500  0.01
3 N 0.500 0.124 0.500  0.01
4 O 0.500 0.643 0.000  0.61
5 O 0.500 0.357 0.000  0.61
6 O 0.000 0.357 0.500  0.61
7 O 0.000 0.643 0.500  0.61

Summary:
Volume   18.7 A^3/atom
Uncorrected formation energy   -0.4 eV/f.u.
SG   Cmmm (65)

---

# K2TlRu3O8

An optimized crystal structure of K2TlRu3O8 (PBE-GGA, Alexandria).

Unit cell a=6.277 b=6.277 c=7.383 alpha=64.84 beta=64.84 gamma=60.00
Last column: magnetic moment on the atom in μB.
Fractional coordinates of all 14 atoms:
1 K 0.134 0.134 0.598  0.01
2 K 0.497 0.497 0.509  0.00
3 Tl 0.880 0.880 0.360  0.03
4 Ru 0.502 0.998 0.998  1.17
5 Ru 0.998 0.502 0.998  1.17
6 Ru 0.502 0.502 0.998  1.17
7 O 0.280 0.280 0.161  0.09
8 O 0.721 0.721 0.838  0.12
9 O 0.233 0.233 0.854  0.16
10 O 0.680 0.233 0.854  0.16
11 O 0.233 0.680 0.854  0.16
12 O 0.756 0.321 0.166  0.15
13 O 0.321 0.756 0.166  0.15
14 O 0.756 0.756 0.166  0.15

Summary:
Volume   15.7 A^3/atom
Uncorrected formation energy   -14.2 eV/f.u.
SG   R3m (160)

---

# GaSn2S

An optimized crystal structure of GaSn2S (PBE-GGA, Alexandria).

Unit cell a=5.032 b=5.032 c=5.032 alpha=60.00 beta=60.00 gamma=60.00
Fractional coordinates of all 4 atoms:
1 S 0.000 0.000 0.000
2 Sn 0.250 0.250 0.250
3 Sn 0.750 0.750 0.750
4 Ga 0.500 0.500 0.500

Summary:
Volume   22.5 A^3/atom
Uncorrected formation energy   0.4 eV/f.u.
SG   Fm-3m (225)

---

# Tm3Bi3H2

An optimized crystal structure of Tm3Bi3H2 (PBE-GGA, Alexandria).

Unit cell a=3.687 b=6.301 c=16.433 alpha=90.00 beta=90.00 gamma=107.01
Fractional coordinates of all 16 atoms:
1 Tm 0.653 0.305 0.448
2 Tm 0.347 0.695 0.948
3 Tm 0.653 0.305 0.052
4 Tm 0.347 0.695 0.552
5 Tm 0.356 0.713 0.250
6 Tm 0.644 0.287 0.750
7 Bi 0.939 0.878 0.397
8 Bi 0.061 0.122 0.897
9 Bi 0.939 0.878 0.103
10 Bi 0.061 0.122 0.603
11 Bi 0.638 0.276 0.250
12 Bi 0.362 0.724 0.750
13 H 0.762 0.525 0.950
14 H 0.238 0.475 0.450
15 H 0.762 0.525 0.550
16 H 0.238 0.475 0.050

Summary:
Volume   22.8 A^3/atom
Energy   -72.76 eV for the cell shown
SG   Cmcm (63)

---

# Li5MnPt6

An optimized crystal structure of Li5MnPt6 (PBE-GGA, Alexandria).

Unit cell a=4.233 b=5.940 c=6.672 alpha=90.00 beta=71.51 gamma=90.00
Last column: magnetic moment on the atom in μB.
Fractional coordinates of all 12 atoms:
1 Mn 0.000 0.000 0.000  3.49
2 Pt 0.832 0.747 0.336  0.08
3 Pt 0.832 0.253 0.336  0.08
4 Pt 0.500 0.253 0.000  0.12
5 Pt 0.500 0.747 0.000  0.12
6 Pt 0.168 0.747 0.664  0.08
7 Pt 0.168 0.253 0.664  0.08
8 Li 0.665 0.500 0.670  0.00
9 Li 0.333 0.000 0.334  -0.01
10 Li 0.000 0.500 0.000  0.00
11 Li 0.667 0.000 0.666  -0.01
12 Li 0.335 0.500 0.330  0.00

Summary:
Volume   13.3 A^3/atom
SG   Cmmm (65)
Energy relative to the elements   -590 kJ/mol of formula units

---

# B4C23

An optimized crystal structure of B4C23 (PBE-GGA, Alexandria).

Unit cell a=6.887 b=6.887 c=6.887 alpha=90.00 beta=90.00 gamma=90.00
Fractional coordinates of all 54 atoms:
1 C 0.250 0.500 0.000
2 C 0.750 0.500 0.000
3 C 0.500 0.000 0.250
4 C 0.500 0.000 0.750
5 C 0.000 0.250 0.500
6 C 0.000 0.750 0.500
7 C 0.315 0.315 0.315
8 C 0.315 0.685 0.685
9 C 0.685 0.315 0.685
10 C 0.685 0.685 0.315
11 C 0.185 0.185 0.185
12 C 0.185 0.815 0.815
13 C 0.815 0.185 0.815
14 C 0.815 0.815 0.185
15 C 0.685 0.685 0.685
16 C 0.685 0.315 0.315
17 C 0.315 0.685 0.315
18 C 0.315 0.315 0.685
19 C 0.815 0.815 0.815
20 C 0.815 0.185 0.185
21 C 0.185 0.815 0.185
22 C 0.185 0.185 0.815
23 C 0.000 0.878 0.304
24 C 0.000 0.122 0.696
25 C 0.000 0.878 0.696
26 C 0.000 0.122 0.304
27 C 0.878 0.304 0.000
28 C 0.878 0.696 0.000
29 C 0.122 0.304 0.000
30 C 0.122 0.696 0.000
31 C 0.304 0.000 0.878
32 C 0.304 0.000 0.122
33 C 0.696 0.000 0.122
34 C 0.696 0.000 0.878
35 C 0.622 0.500 0.196
36 C 0.622 0.500 0.804
37 C 0.378 0.500 0.804
38 C 0.378 0.500 0.196
39 C 0.500 0.196 0.622
40 C 0.500 0.804 0.378
41 C 0.500 0.196 0.378
42 C 0.500 0.804 0.622
43 C 0.196 0.622 0.500
44 C 0.196 0.378 0.500
45 C 0.804 0.622 0.500
46 C 0.804 0.378 0.500
47 B 0.000 0.000 0.000
48 B 0.500 0.500 0.500
49 B 0.250 0.000 0.500
50 B 0.750 0.000 0.500
51 B 0.000 0.500 0.250
52 B 0.000 0.500 0.750
53 B 0.500 0.250 0.000
54 B 0.500 0.750 0.000

Summary:
Volume   6.1 A^3/atom
SG   Pm-3n (223)
Energy relative to the elements   3598 kJ/mol of formula units

---

# Pu6Pd2Pt

An optimized crystal structure of Pu6Pd2Pt (PBE-GGA, Alexandria).

Unit cell a=5.369 b=8.477 c=6.866 alpha=128.12 beta=125.13 gamma=90.00
Last column: magnetic moment on the atom in μB.
Fractional coordinates of all 9 atoms:
1 Pu 0.323 0.480 0.266  -1.32
2 Pu 0.677 0.215 0.734  -1.32
3 Pu 0.677 0.520 0.734  -1.32
4 Pu 0.500 0.198 0.000  4.43
5 Pu 0.323 0.785 0.266  -1.32
6 Pu 0.500 0.802 0.000  4.43
7 Pd 0.905 0.695 0.390  -0.02
8 Pd 0.095 0.305 0.610  -0.02
9 Pt 0.000 0.000 0.000  0.00

Summary:
Volume   18.6 A^3/atom
SG   C2/m (12)
Energy relative to the elements   -188 kJ/mol of formula units

---

# Bi4RhAu

An optimized crystal structure of Bi4RhAu (PBE-GGA, Alexandria).

Unit cell a=4.861 b=4.861 c=6.971 alpha=90.01 beta=90.01 gamma=90.00
Fractional coordinates of all 6 atoms:
1 Bi 0.501 0.997 0.263
2 Bi 0.501 0.998 0.733
3 Bi 0.001 0.498 0.733
4 Bi 0.001 0.497 0.263
5 Rh 0.001 0.997 0.498
6 Au 0.501 0.497 0.998

Summary:
Volume   27.4 A^3/atom
SG   P4/mmm (123)
Energy relative to the elements   -78 kJ/mol of formula units

---

# NaTa2TiO8

An optimized crystal structure of NaTa2TiO8 (PBE-GGA, Alexandria).

Unit cell a=4.802 b=4.801 c=6.339 alpha=90.00 beta=90.00 gamma=87.38
Last column: magnetic moment on the atom in μB.
Fractional coordinates of all 12 atoms:
1 Na 0.000 0.000 0.500  0.00
2 Ta 0.500 0.500 0.741  -0.03
3 Ta 0.500 0.500 0.259  -0.03
4 Ti 0.000 0.000 0.000  -0.05
5 O 0.210 0.790 0.212  0.10
6 O 0.698 0.698 0.000  0.25
7 O 0.790 0.210 0.212  0.10
8 O 0.790 0.210 0.788  0.10
9 O 0.302 0.302 0.000  0.25
10 O 0.210 0.790 0.788  0.10
11 O 0.679 0.679 0.500  0.01
12 O 0.321 0.321 0.500  0.01

Summary:
Volume   12.2 A^3/atom
Uncorrected formation energy   -30.3 eV/f.u.
SG   Cmmm (65)

---

# CuRhBr4

An optimized crystal structure of CuRhBr4 (PBE-GGA, Alexandria).

Unit cell a=3.724 b=7.150 c=6.957 alpha=112.09 beta=90.00 gamma=105.09
Last column: magnetic moment on the atom in μB.
Fractional coordinates of all 6 atoms:
1 Cu 0.000 0.000 0.000  0.08
2 Rh 0.500 0.000 0.500  0.01
3 Br 0.404 0.808 0.109  0.02
4 Br 0.118 0.236 0.470  0.00
5 Br 0.596 0.192 0.891  0.02
6 Br 0.882 0.764 0.530  0.00

Summary:
Volume   27.5 A^3/atom
Uncorrected formation energy   -1.8 eV/f.u.
SG   C2/m (12)

---

# Hf2Ti5Bi4

An optimized crystal structure of Hf2Ti5Bi4 (PBE-GGA, Alexandria).

Unit cell a=3.345 b=10.280 c=9.211 alpha=123.92 beta=100.46 gamma=90.00
Fractional coordinates of all 11 atoms:
1 Hf 0.181 0.181 0.362
2 Hf 0.819 0.819 0.638
3 Ti 0.809 0.120 0.619
4 Ti 0.809 0.498 0.619
5 Ti 0.191 0.502 0.381
6 Ti 0.191 0.880 0.381
7 Ti 0.500 0.000 0.000
8 Bi 0.000 0.221 0.000
9 Bi 0.605 0.605 0.211
10 Bi 0.000 0.779 0.000
11 Bi 0.395 0.395 0.789

Summary:
Volume   23.3 A^3/atom
SG   Immm (71)
Energy relative to the elements   171 kJ/mol of formula units

---

# Si2Ni3Ge

An optimized crystal structure of Si2Ni3Ge (PBE-GGA, Alexandria).

Unit cell a=3.777 b=6.524 c=6.668 alpha=109.37 beta=90.00 gamma=90.00
Fractional coordinates of all 12 atoms:
1 Si 0.250 0.748 0.498
2 Si 0.750 0.252 0.502
3 Si 0.750 0.019 0.801
4 Si 0.250 0.981 0.199
5 Ni 0.750 0.623 0.614
6 Ni 0.250 0.377 0.386
7 Ni 0.750 0.880 0.390
8 Ni 0.250 0.120 0.610
9 Ni 0.250 0.215 0.994
10 Ni 0.750 0.785 0.006
11 Ge 0.250 0.533 0.837
12 Ge 0.750 0.467 0.163

Summary:
Volume   12.9 A^3/atom
Uncorrected formation energy   -2.0 eV/f.u.
SG   P2_1/m (11)

---

# Rb2HfBi2O6

An optimized crystal structure of Rb2HfBi2O6 (PBE-GGA, Alexandria).

Unit cell a=6.268 b=5.836 c=7.382 alpha=107.47 beta=90.00 gamma=122.48
Fractional coordinates of all 11 atoms:
1 Rb 0.698 0.395 0.128
2 Rb 0.302 0.605 0.872
3 Hf 0.500 0.000 0.500
4 Bi 0.910 0.820 0.741
5 Bi 0.090 0.180 0.259
6 O 0.713 0.427 0.508
7 O 0.218 0.916 0.282
8 O 0.302 0.084 0.718
9 O 0.782 0.084 0.718
10 O 0.698 0.916 0.282
11 O 0.287 0.573 0.492

Summary:
Volume   19.4 A^3/atom
Uncorrected formation energy   -19.9 eV/f.u.
SG   C2/m (12)

---

# Cu2AsPt2

An optimized crystal structure of Cu2AsPt2 (PBE-GGA, Alexandria).

Unit cell a=7.344 b=7.344 c=2.830 alpha=90.00 beta=90.00 gamma=90.00
Fractional coordinates of all 10 atoms:
1 As 0.000 0.000 0.000
2 As 0.500 0.500 0.000
3 Cu 0.346 0.846 0.000
4 Cu 0.846 0.654 0.000
5 Cu 0.654 0.154 0.000
6 Cu 0.154 0.346 0.000
7 Pt 0.142 0.642 0.500
8 Pt 0.642 0.858 0.500
9 Pt 0.858 0.358 0.500
10 Pt 0.358 0.142 0.500

Summary:
Volume   15.3 A^3/atom
SG   P4/mbm (127)
Energy relative to the elements   32 kJ/mol of formula units